1.
# PuSnRuPt

A geometry-optimized PuSnRuPt structure (PBE, Alexandria via LeMat-Bulk).

Output
calculated density: 14.280 g/cm3
DOS(E_F): 7.1 states/eV/cell

a = 4.767 Å, b = 4.767 Å, c = 4.767 Å
α = 60.00°, β = 60.00°, γ = 60.00°
Positions (direct):
Pu1 0.000 0.000 0.000
Sn1 0.500 0.500 0.500
Ru1 0.250 0.250 0.250
Pt1 0.750 0.750 0.750



2.
# Li2PmMgTl4

A geometry-optimized Li2PmMgTl4 structure (PBE, Alexandria via LeMat-Bulk).

Output
calculated density: 8.445 g/cm3
DOS(E_F): 2.3 states/eV/cell

a = 9.264 Å, b = 9.264 Å, c = 9.264 Å
α = 31.86°, β = 31.86°, γ = 31.86°
Positions (direct):
Li1 0.248 0.248 0.248
Li2 0.752 0.752 0.752
Pm1 0.000 0.000 0.000
Mg1 0.500 0.500 0.500
Tl1 0.127 0.127 0.127
Tl2 0.383 0.383 0.383
Tl3 0.617 0.617 0.617
Tl4 0.873 0.873 0.873



no.,electronic total energy (eV per atom)
1,-8.75
2,-2.69